# NbSi2NiP, relaxed, DFT PBE-GGA
# * ΔE_f (raw): 4.266 eV/f.u.
# * VASP energy: -5.57 eV/atom
# * excess energy over the best structure of this formula in the dataset: 0 meV/atom
data_NbSi2NiP
_chemical_formula_sum 'Nb1 Si2 Ni1 P1'
_space_group_name_H-M_alt 'P 4/m m m'
_space_group_IT_number 123
_space_group_name_Hall '-P 4 2'
_cell_length_a 4.392
_cell_length_b 4.392
_cell_length_c 4.534
_cell_angle_alpha 90.00
_cell_angle_beta 90.00
_cell_angle_gamma 90.00
loop_
_atom_site_label
_atom_site_type_symbol
_atom_site_fract_x
_atom_site_fract_y
_atom_site_fract_z
Nb1 Nb 0.000 0.000 0.000
Si1 Si 0.000 0.500 0.500
Ni1 Ni 0.500 0.500 0.000
P1 P 0.000 0.000 0.500